1.
5
Lattice="3.028 0.001 0.000 -0.001 4.905 -0.108 0.001 0.123 4.944" Properties=species:S:1:pos:R:3 comment="Ti4N PBE relaxed" sg="P2/m, No. 10" crystal_system=monoclinic raw_formation_energy_ev_per_atom=-0.7488 e_tot_ry_per_atom=-0.642 volume_a3_per_cell=73.5 pbc="T T T"
Ti 3.027 3.901 0.906
Ti 1.514 1.472 1.448
Ti 1.514 3.556 3.387
N 1.514 0.000 0.000
Ti 0.000 1.128 3.929

2.
10
Lattice="-3.631 -5.665 -3.579 5.358 -4.900 2.319 -1.482 -0.520 2.326" Properties=species:S:1:pos:R:3 comment="Ti2CuPd2 PBE relaxed" sg="P4/mbm, No. 127" e_form_ev_per_atom=-0.183 crystal_system=tetragonal e_tot_ry_per_atom=-0.458 volume_a3_per_cell=163.0 pbc="T T T"
Pd -1.929 -6.930 -1.085
Ti 1.246 -2.572 0.219
Pd 1.573 -8.097 0.885
Ti -1.540 -4.517 -1.991
Ti 0.481 -7.993 -1.480
Ti 3.267 -6.048 0.730
Cu 0.000 0.000 0.000
Pd -1.327 -2.988 0.180
Pd 2.174 -4.154 2.150
Cu 0.864 -5.282 -0.630